First-principles (PBE+U) data for a geometry-optimized Rb2MoS2O2 structure, as listed in Alexandria.

a b c (Å): 11.985 7.379 10.403
angles (deg): 90.00 122.59 90.00
Space group C2/c (No. 15)
Unique sites:
Rb (0.215, 0.052, 0.333)
Mo (0.000, 0.426, 0.750)
S (0.018, 0.247, 0.934)
O (0.145, 0.438, 0.327)

Values from the calculation:
* total DFT energy (no corrections): -5.221 eV/atom
* total moment: 0.00 μB/atom